## UN (PBE)

Data for an optimized crystal structure of UN.

Cell lengths 4.8523, 4.8523, 4.8523 Å; angles 90.00, 90.00, 90.00 degrees
Last column: nearest neighbours and their distance in Å.
Space group Fm-3m (No. 225)
One atom of each set of equivalent atoms:
U 0.0000 0.0000 0.0000 [4 per cell]  6 N 2.43
N 0.0000 0.0000 0.5000 [4 per cell]  6 U 2.43

Results
The value obtained for the calculated total energy is -11.1218 eV/atom.

=====

## WN2 (PBE)

Data for an optimized crystal structure of WN2.

Cell lengths 5.4126, 3.0198, 9.8506 Å; angles 90.00, 90.05, 90.00 degrees
Last column: nearest neighbours and their distance in Å.
Space group Cm (No. 8)
One atom of each set of equivalent atoms:
W 0.0000 0.0000 0.0000 [2 per cell]  3 N 1.87-1.92
W 0.1669 0.5000 0.4970 [2 per cell]  3 N 1.87-1.92
N 0.0728 0.0000 0.6062 [2 per cell]  2 W 1.92
N 0.2113 0.5000 0.1045 [2 per cell]  1 W 1.87
N 0.3768 0.0000 0.3929 [2 per cell]  1 W 1.87
N 0.4069 0.0000 0.8907 [2 per cell]  2 W 1.92

Results
The value obtained for the calculated total energy is -9.7645 eV/atom.

=====

## W5N6 (PBE)

Data for an optimized crystal structure of W5N6.

Cell lengths 4.8976, 4.8976, 11.2682 Å; angles 90.00, 90.00, 120.00 degrees
Last column: nearest neighbours and their distance in Å.
Space group P6_3/mcm (No. 193)
One atom of each set of equivalent atoms:
W 0.0000 0.0000 0.2500 [2 per cell]  6 N 2.12
W 0.3333 0.6667 0.0000 [4 per cell]  6 N 2.20
W 0.3333 0.6667 0.2500 [4 per cell]  6 N 2.12
N 0.0000 0.3326 0.1302 [12 per cell]  5 W 2.12-2.20

Results
The value obtained for the calculated total energy is -10.8227 eV/atom.

=====

## WN2 (PBE)

Data for an optimized crystal structure of WN2.

Cell lengths 2.9215, 2.9215, 7.7882 Å; angles 90.00, 90.00, 120.00 degrees
Last column: nearest neighbours and their distance in Å.
Space group P6_3/mmc (No. 194)
One atom of each set of equivalent atoms:
W 0.3333 0.6667 0.2500 [2 per cell]  6 N 2.10
N 0.0000 0.0000 0.0898 [4 per cell]  1 N 1.40

Results
The value obtained for the calculated total energy is -10.1408 eV/atom.